--- A ---
BeCo3Cu (PBE, optimized geometry); D(E_F) = 15.03 states/eV/cell; spin magnetization = 5.1 μB per formula unit
1.0
-3.0116 -3.0045 0.1661
2.9599 -3.0001 -0.6019
0.5419 -0.3103 4.2112
Be Co Cu
1 3 1
Cartesian
0.2451 -3.1575 1.8877
1.4799 -1.5001 -0.3010
0.2709 -0.1552 2.1056
-1.5058 -1.5023 0.0831
0.0000 0.0000 0.0000



--- B ---
BeCo3Cu (PBE, optimized geometry); D(E_F) = 4.20 states/eV/cell; spin magnetization = 4.0 μB per formula unit
1.0
3.8583 0.0000 0.0000
0.0000 3.8583 0.0000
0.0000 0.0000 3.8583
Be Co Cu
1 3 1
Cartesian
0.0000 0.0000 0.0000
0.0000 1.9291 0.0000
0.0000 0.0000 1.9291
1.9291 0.0000 0.0000
1.9291 1.9291 1.9291



Most stable pick: B. Distance to second place: 88.5 kJ/mol of atoms.



--- A ---
Be2CoCu2 (PBE, optimized geometry); D(E_F) = 2.92 states/eV/cell; spin magnetization = 1.4 μB per formula unit
1.0
3.0077 0.0000 0.0000
0.0000 3.0077 0.0000
1.5038 1.5038 6.0391
Be Co Cu
2 1 2
Cartesian
3.0077 1.5038 3.0196
1.5038 3.0077 3.0196
0.0000 0.0000 0.0000
1.5038 1.5038 1.3152
3.0077 3.0077 4.7240



--- B ---
Be2CoCu2 (PBE, optimized geometry); D(E_F) = 2.94 states/eV/cell; spin magnetization = 1.3 μB per formula unit
1.0
6.2885 0.0000 0.0000
0.0000 6.2885 0.0000
0.0000 0.0000 2.5332
Be Co Cu
4 2 4
Cartesian
2.2958 5.4400 0.0000
5.4400 3.9927 0.0000
3.9927 0.8485 0.0000
0.8485 2.2958 0.0000
0.0000 0.0000 0.0000
3.1442 3.1442 0.0000
1.0138 4.1580 1.2666
4.1580 5.2747 1.2666
5.2747 2.1304 1.2666
2.1304 1.0138 1.2666



Most stable pick: B. Distance to second place: 31.5 kJ/mol of atoms.



--- A ---
Dy2BeCo (PBE, optimized geometry); D(E_F) = 2.97 states/eV/cell; spin magnetization = 0.3 μB per formula unit
1.0
3.3793 0.0000 0.0000
0.0000 3.3793 0.0000
0.0000 0.0000 6.7232
Be Co Dy
1 1 2
Cartesian
1.6896 1.6896 3.3616
1.6896 1.6896 0.0000
0.0000 0.0000 5.0756
0.0000 0.0000 1.6477



--- B ---
Dy2BeCo (PBE, optimized geometry); D(E_F) = 2.85 states/eV/cell; spin magnetization = 0.0 μB per formula unit
1.0
3.6889 0.0000 0.0000
1.8444 3.1947 0.0000
1.8444 1.0649 9.0232
Be Co Dy
1 1 2
Cartesian
0.0000 0.0000 0.0000
3.6889 2.1298 4.5116
1.8444 1.0649 6.0367
5.5333 3.1947 2.9865



Most stable pick: A. Distance to second place: 64.5 kJ/mol of atoms.



--- A ---
Dy2BeCo (PBE, optimized geometry); D(E_F) = 2.61 states/eV/cell; spin magnetization = 0.0 μB per formula unit
1.0
4.7617 0.0000 0.0000
2.3808 4.1237 0.0000
2.3808 1.3746 3.8879
Be Co Dy
1 1 2
Cartesian
0.0000 0.0000 0.0000
4.7617 2.7491 1.9439
2.3808 1.3746 0.9720
7.1425 4.1237 2.9159



--- B ---
Dy2BeCo (PBE, optimized geometry); D(E_F) = 4.04 states/eV/cell; spin magnetization = 0.0 μB per formula unit
1.0
3.8316 0.0182 0.0337
1.9228 3.3143 0.0337
1.8200 1.0540 6.8047
Dy Be Co
2 1 1
Cartesian
1.8360 1.0632 6.0403
1.8727 1.0845 2.4816
5.6944 3.2977 4.3025
3.7785 2.1882 4.2884



Most stable pick: B. Distance to second place: 12.7 kJ/mol of atoms.



--- A ---
Er2BeCo (PBE, optimized geometry); D(E_F) = 2.52 states/eV/cell; spin magnetization = 0.0 μB per formula unit
1.0
4.7134 0.0000 0.0000
2.3567 4.0819 0.0000
2.3567 1.3606 3.8484
Be Co Er
1 1 2
Cartesian
4.7134 2.7213 1.9242
0.0000 0.0000 0.0000
2.3567 1.3606 0.9621
7.0700 4.0819 2.8863



--- B ---
Er2BeCo (PBE, optimized geometry); D(E_F) = 2.49 states/eV/cell; spin magnetization = 0.0 μB per formula unit
1.0
3.8380 0.0000 0.0000
0.0000 3.8403 0.0000
0.0000 -1.9202 5.3062
Er Be Co
2 1 1
Cartesian
0.0000 1.9202 5.1643
1.9190 0.0000 2.8030
1.9190 1.9202 0.7547
0.0000 1.9202 1.8825



Most stable pick: B. Distance to second place: 9.8 kJ/mol of atoms.



--- A ---
Er2BeCo (PBE, optimized geometry); D(E_F) = 2.82 states/eV/cell; spin magnetization = 0.3 μB per formula unit
1.0
3.3419 0.0000 0.0000
0.0000 3.3419 0.0000
0.0000 0.0000 6.6764
Be Co Er
1 1 2
Cartesian
1.6710 1.6710 3.3382
1.6710 1.6710 0.0000
0.0000 0.0000 5.0462
0.0000 0.0000 1.6302



--- B ---
Er2BeCo (PBE, optimized geometry); D(E_F) = 4.22 states/eV/cell; spin magnetization = 0.0 μB per formula unit
1.0
-0.6693 0.7616 3.6572
-0.7674 -2.8321 2.4185
6.0577 -1.3362 3.3560
Er Be Co
2 1 1
Cartesian
2.3310 -1.9302 6.7360
-0.2845 -0.9324 4.0804
4.5278 -1.4078 5.0601
4.2488 -3.5489 5.4549



Most stable pick: B. Distance to second place: 10.4 kJ/mol of atoms.